1.
The following is a GGA-PBE calculation of an optimized crystal structure of TiReB2, from the Alexandria database.

Results
energy above the lowest structure with this stoichiometry = 0.3207 eV per atom
symmetry = R-3m
calculated formation energy = -151 kJ/mol of formula units

Cell lengths 3.110, 3.110, 5.507 Å; angles 73.60, 73.60, 60.00 degrees
Positions (direct):
Ti 0.500 0.500 0.500
B 0.748 0.748 0.755
B 0.252 0.252 0.245
Re 0.000 0.000 0.000

2.
The following is a GGA-PBE calculation of an optimized crystal structure of RbNa2AlI, from the Alexandria database.

Results
E_form (uncorrected) = 0.552 eV per atom
symmetry = P4/mmm

Cell lengths 6.688, 6.583, 6.688 Å; angles 90.00, 90.00, 90.00 degrees
Positions (direct):
Al 0.000 0.500 0.000
Rb 0.000 0.000 0.000
I 0.500 0.500 0.500
Na 0.000 0.000 0.500
Na 0.500 0.000 0.000

| no. | DOS at the Fermi energy (states/eV/cell) | VASP energy (eV per atom) | magnetic moment (μB/f.u.) |
| --- | --- | --- | --- |
| 1 | 1.3 | -8.82 | 0.00 |
| 2 | 5.1 | -1.23 | 0.00 |